Entry 1:
Pm2Dy3Ga2 | the Alexandria database | PBE | optimized geometry; size of the total moment = 0.00 μB per cell; VASP energy = -4.5055 eV/atom; E_form = -2.2 eV/f.u.; space-group type = No. 12; DOS(E_F) = 1.13 states/eV per atom; calculated density = 7.599 g/cm3
1.0
4.197 0.000 0.000
-2.098 6.036 -0.247
0.000 -3.094 8.037
Dy Ga Pm
3 2 2
Cartesian
2.098 0.113 3.467 Dy
0.000 2.829 4.322 Dy
2.098 0.000 0.000 Dy
2.098 1.557 6.156 Ga
0.000 1.385 1.633 Ga
2.098 3.635 1.364 Pm
0.000 -0.693 6.425 Pm



Entry 2:
PmDy2Ga9 | the Alexandria database | PBE | optimized geometry; size of the total moment = 0.00 μB per cell; VASP energy = -3.9671 eV/atom; E_form = -6.4 eV/f.u.; space-group type = No. 123; DOS(E_F) = 0.42 states/eV per atom; calculated density = 7.639 g/cm3
1.0
4.301 0.000 0.000
0.000 4.301 0.000
0.000 0.000 12.896
Ga Pm Dy
9 1 2
Cartesian
2.151 2.151 0.000 Ga
2.151 2.151 8.593 Ga
2.151 0.000 6.448 Ga
2.151 0.000 2.197 Ga
0.000 2.151 10.699 Ga
0.000 2.151 2.197 Ga
0.000 2.151 6.448 Ga
2.151 0.000 10.699 Ga
2.151 2.151 4.303 Ga
0.000 0.000 0.000 Pm
0.000 0.000 4.323 Dy
0.000 0.000 8.573 Dy



Entry 3:
PmDy2Ga6 | the Alexandria database | PBE | optimized geometry; size of the total moment = 0.00 μB per cell; VASP energy = -4.0508 eV/atom; E_form = -4.3 eV/f.u.; space-group type = No. 71; DOS(E_F) = 0.47 states/eV per atom; E above lowest polymorph = 0.168 eV per atom; calculated density = 7.249 g/cm3
1.0
4.336 0.000 0.000
0.000 7.088 0.000
-2.168 -3.544 6.622
Ga Pm Dy
6 1 2
Cartesian
2.168 2.171 2.438 Ga
0.000 1.373 4.184 Ga
2.168 4.917 2.438 Ga
2.168 1.307 0.000 Ga
2.168 5.781 0.000 Ga
0.000 -1.373 4.184 Ga
0.000 3.544 0.000 Pm
2.168 3.544 4.944 Dy
0.000 0.000 1.678 Dy



Entry 4:
Pm5DyGa6 | the Alexandria database | PBE | optimized geometry; size of the total moment = 0.00 μB per cell; VASP energy = -4.4466 eV/atom; E_form = -6.8 eV/f.u.; space-group type = No. 65; DOS(E_F) = 0.41 states/eV per atom; calculated density = 7.424 g/cm3
1.0
4.896 -0.029 1.632
0.039 7.304 0.013
-0.002 -0.015 8.167
Pm Ga Dy
5 6 1
Cartesian
3.292 3.622 6.510 Pm
1.635 -0.015 3.256 Pm
0.020 3.652 0.007 Pm
3.259 -0.029 6.542 Pm
1.641 3.637 3.302 Pm
4.100 1.768 4.052 Ga
2.458 1.790 0.819 Ga
0.813 1.783 5.754 Ga
0.833 5.491 5.760 Ga
2.478 5.484 0.826 Ga
4.120 5.477 4.058 Ga
0.000 0.000 0.000 Dy



Entry 5:
Pm2DyGa | the Alexandria database | PBE | optimized geometry; size of the total moment = 0.61 μB per cell; VASP energy = -4.4391 eV/atom; E_form = -0.6 eV/f.u.; space-group type = No. 160; DOS(E_F) = 1.20 states/eV per atom; E above lowest polymorph = 0.104 eV per atom; calculated density = 7.082 g/cm3
1.0
-3.633 0.306 -0.581
-1.634 -2.057 -2.593
-3.503 -8.033 5.951
Ga Pm Dy
1 2 1
Cartesian
-3.513 -1.175 -2.109 Ga
-3.128 -6.433 4.446 Pm
-2.131 -2.182 0.445 Pm
-4.384 -4.886 1.383 Dy



Entry 6:
Pm2DyGa | the Alexandria database | PBE | optimized geometry; size of the total moment = 0.00 μB per cell; VASP energy = -4.5167 eV/atom; E_form = -0.9 eV/f.u.; space-group type = No. 123; DOS(E_F) = 1.60 states/eV per atom; E above lowest polymorph = 0.027 eV per atom; calculated density = 7.855 g/cm3
1.0
-1.502 4.536 -0.650
-1.175 -1.037 -4.521
-4.392 -1.250 1.428
Pm Ga Dy
2 1 1
Cartesian
-2.196 -0.625 0.714 Pm
-0.587 -0.518 -2.260 Pm
-0.751 2.268 -0.325 Ga
-3.535 1.125 -1.871 Dy



Entry 7:
PmDyGa | the Alexandria database | PBE | optimized geometry; size of the total moment = 0.00 μB per cell; VASP energy = -4.3657 eV/atom; E_form = -0.7 eV/f.u.; space-group type = No. 216; DOS(E_F) = 1.52 states/eV per atom; E above lowest polymorph = 0.174 eV per atom; calculated density = 7.021 g/cm3
1.0
-4.918 0.846 0.503
-3.311 -3.317 -1.787
-2.713 -2.789 3.165
Ga Pm Dy
1 1 1
Cartesian
-2.735 -1.315 0.470 Ga
-5.471 -2.630 0.941 Pm
0.000 0.000 0.000 Dy



Entry 8:
Pm3DyGa3 | the Alexandria database | PBE | optimized geometry; size of the total moment = 0.00 μB per cell; VASP energy = -4.3490 eV/atom; E_form = -2.5 eV/f.u.; space-group type = No. 12; DOS(E_F) = 1.00 states/eV per atom; calculated density = 6.919 g/cm3
1.0
7.190 1.145 0.340
-2.178 6.947 0.340
-0.347 -0.560 7.336
Pm Ga Dy
6 6 2
Cartesian
3.181 5.136 3.135 Pm
1.484 2.396 4.880 Pm
-0.574 5.566 4.008 Pm
4.813 2.617 0.340 Pm
0.198 5.475 0.340 Pm
5.239 1.966 4.008 Pm
1.171 7.079 5.951 Ga
-0.096 -0.155 5.913 Ga
3.494 0.453 2.064 Ga
4.761 7.687 2.102 Ga
-1.151 3.330 2.064 Ga
5.816 4.202 5.951 Ga
3.332 5.380 6.964 Dy
1.333 2.152 1.051 Dy



Entry 9:
Pm3Dy3Ga4 | the Alexandria database | PBE | optimized geometry; size of the total moment = 0.00 μB per cell; VASP energy = -4.5296 eV/atom; E_form = -5.1 eV/f.u.; space-group type = No. 38; DOS(E_F) = 1.16 states/eV per atom; calculated density = 7.555 g/cm3
1.0
4.461 0.000 0.000
0.000 7.694 0.004
0.000 0.071 7.693
Pm Dy Ga
3 3 4
Cartesian
2.231 6.379 1.330 Pm
2.231 2.520 2.512 Pm
2.231 5.231 5.199 Pm
0.000 3.843 0.008 Dy
0.000 7.724 3.854 Dy
2.231 1.411 6.342 Dy
0.000 2.942 4.798 Ga
0.000 4.784 2.940 Ga
0.000 0.938 0.891 Ga
0.000 6.866 6.767 Ga



Entry 10:
PmDyGa | the Alexandria database | PBE | optimized geometry; size of the total moment = 0.00 μB per cell; VASP energy = -4.4807 eV/atom; E_form = -1.1 eV/f.u.; space-group type = No. 107; DOS(E_F) = 0.76 states/eV per atom; E above lowest polymorph = 0.059 eV per atom; calculated density = 7.638 g/cm3
1.0
3.517 0.000 0.000
0.000 3.517 0.000
-1.758 -1.758 6.632
Pm Dy Ga
1 1 1
Cartesian
0.000 0.000 4.153 Pm
0.000 0.000 0.321 Dy
1.758 1.758 2.158 Ga



Entry 11:
Pm2DyGa | the Alexandria database | PBE | optimized geometry; size of the total moment = 0.74 μB per cell; VASP energy = -4.2612 eV/atom; E_form = 0.1 eV/f.u.; space-group type = No. 166; DOS(E_F) = 1.34 states/eV per atom; E above lowest polymorph = 0.282 eV per atom; calculated density = 6.917 g/cm3
1.0
-0.481 -0.126 -3.516
-2.580 -2.021 -1.368
-8.309 8.129 -0.948
Ga Pm Dy
1 2 1
Cartesian
-5.685 2.991 -2.916 Ga
-6.089 5.435 -1.155 Pm
-5.280 0.547 -4.677 Pm
0.000 0.000 0.000 Dy



Entry 12:
PmDyGa | the Alexandria database | PBE | optimized geometry; size of the total moment = 0.03 μB per cell; VASP energy = -4.5397 eV/atom; E_form = -1.2 eV/f.u.; space-group type = No. 62; DOS(E_F) = 1.11 states/eV per atom; E above lowest polymorph = 0.000 eV per atom; calculated density = 7.576 g/cm3
1.0
4.711 0.000 0.000
0.000 8.727 0.000
0.000 0.000 8.045
Dy Ga Pm
4 4 4
Cartesian
1.235 3.671 5.181 Dy
3.590 8.035 6.886 Dy
3.590 5.055 2.864 Dy
1.235 0.692 1.158 Dy
3.591 5.311 5.864 Ga
3.591 7.779 1.842 Ga
1.235 0.947 6.203 Ga
1.235 3.416 2.180 Ga
1.234 7.286 4.193 Pm
3.590 2.922 7.874 Pm
1.234 5.805 0.171 Pm
3.590 1.441 3.852 Pm



What did the first record say?
Pm2Dy3Ga2 | the Alexandria database | PBE | optimized geometry; size of the total moment = 0.00 μB per cell; VASP energy = -4.5055 eV/atom; E_form = -2.2 eV/f.u.; space-group type = No. 12; DOS(E_F) = 1.13 states/eV per atom; calculated density = 7.599 g/cm3
1.0
4.197 0.000 0.000
-2.098 6.036 -0.247
0.000 -3.094 8.037
Dy Ga Pm
3 2 2
Cartesian
2.098 0.113 3.467 Dy
0.000 2.829 4.322 Dy
2.098 0.000 0.000 Dy
2.098 1.557 6.156 Ga
0.000 1.385 1.633 Ga
2.098 3.635 1.364 Pm
0.000 -0.693 6.425 Pm



Question: Look up the DOS(E_F) of the seventh one.
Answer: 1.52 states/eV per atom



Question: What is the formula in the eighth record?
Answer: Pm3DyGa3



Please write out number 12 again, unchanged.
PmDyGa | the Alexandria database | PBE | optimized geometry; size of the total moment = 0.03 μB per cell; VASP energy = -4.5397 eV/atom; E_form = -1.2 eV/f.u.; space-group type = No. 62; DOS(E_F) = 1.11 states/eV per atom; E above lowest polymorph = 0.000 eV per atom; calculated density = 7.576 g/cm3
1.0
4.711 0.000 0.000
0.000 8.727 0.000
0.000 0.000 8.045
Dy Ga Pm
4 4 4
Cartesian
1.235 3.671 5.181 Dy
3.590 8.035 6.886 Dy
3.590 5.055 2.864 Dy
1.235 0.692 1.158 Dy
3.591 5.311 5.864 Ga
3.591 7.779 1.842 Ga
1.235 0.947 6.203 Ga
1.235 3.416 2.180 Ga
1.234 7.286 4.193 Pm
3.590 2.922 7.874 Pm
1.234 5.805 0.171 Pm
3.590 1.441 3.852 Pm